No. 1
# CeEr7Sc2 | Alexandria | GGA-PBE | relaxed
# - Spin magnetization: 1.31 μB per formula unit
# - Volume: 36.48 A^3/atom
# - N(E_F): 19.83 states/eV/f.u.
# - ΔH_f (0 K): 0.705 eV per atom
data_CeEr7Sc2
_chemical_formula_sum 'Ce1 Er7 Sc2'
_cell_length_a 5.530
_cell_length_b 8.755
_cell_length_c 8.755
_cell_angle_alpha 120.59
_cell_angle_beta 90.00
_cell_angle_gamma 90.00
_space_group_name_H-M_alt 'P 1'
_space_group_IT_number 1
loop_
_space_group_symop_operation_xyz
'x,y,z'
loop_
_atom_site_label
_atom_site_type_symbol
_atom_site_fract_x
_atom_site_fract_y
_atom_site_fract_z
Sc1 Sc 0.500 0.296 0.704
Er1 Er 0.500 0.700 0.940
Er2 Er 0.000 0.233 0.767
Er3 Er 0.500 0.060 0.300
Er4 Er 0.500 0.300 0.060
Sc2 Sc 0.500 0.704 0.296
Ce1 Ce 0.000 0.000 0.000
Er5 Er 0.000 0.767 0.233
Er6 Er 0.500 0.500 0.500
Er7 Er 0.500 0.940 0.700

***

No. 2
# CeEr12Sc2 | Alexandria | GGA-PBE | relaxed
# - Spin magnetization: 1.18 μB per formula unit
# - Volume: 30.27 A^3/atom
# - N(E_F): 27.05 states/eV/f.u.
# - ΔH_f (0 K): 0.101 eV per atom
data_CeEr12Sc2
_chemical_formula_sum 'Ce2 Er24 Sc4'
_cell_length_a 6.580
_cell_length_b 6.580
_cell_length_c 24.766
_cell_angle_alpha 101.12
_cell_angle_beta 101.12
_cell_angle_gamma 114.87
_space_group_name_H-M_alt 'P 1'
_space_group_IT_number 1
loop_
_space_group_symop_operation_xyz
'x,y,z'
loop_
_atom_site_label
_atom_site_type_symbol
_atom_site_fract_x
_atom_site_fract_y
_atom_site_fract_z
Er1 Er 0.697 0.697 0.558
Er2 Er 0.006 0.006 0.805
Er3 Er 0.803 0.803 0.442
Sc1 Sc 0.856 0.356 0.285
Sc2 Sc 0.644 0.144 0.715
Er4 Er 0.099 0.099 0.679
Er5 Er 0.225 0.725 0.580
Ce1 Ce 0.000 0.500 0.000
Er6 Er 0.401 0.401 0.321
Sc3 Sc 0.144 0.644 0.715
Er7 Er 0.939 0.439 0.152
Er8 Er 0.775 0.275 0.420
Er9 Er 0.561 0.061 0.848
Er10 Er 0.085 0.085 0.068
Er11 Er 0.494 0.494 0.195
Er12 Er 0.599 0.599 0.679
Er13 Er 0.506 0.506 0.805
Ce2 Ce 0.500 0.000 0.000
Er14 Er 0.439 0.939 0.152
Sc4 Sc 0.356 0.856 0.285
Er15 Er 0.725 0.225 0.580
Er16 Er 0.303 0.303 0.442
Er17 Er 0.061 0.561 0.848
Er18 Er 0.197 0.197 0.558
Er19 Er 0.901 0.901 0.321
Er20 Er 0.585 0.585 0.068
Er21 Er 0.994 0.994 0.195
Er22 Er 0.915 0.915 0.932
Er23 Er 0.415 0.415 0.932
Er24 Er 0.275 0.775 0.420

***

No. 3
# Ce2ErSc7 | Alexandria | GGA-PBE | relaxed
# - Spin magnetization: 0.00 μB per formula unit
# - Volume: 28.68 A^3/atom
# - N(E_F): 18.66 states/eV/f.u.
# - ΔH_f (0 K): 0.741 eV per atom
data_Ce2ErSc7
_chemical_formula_sum 'Ce2 Er1 Sc7'
_cell_length_a 8.028
_cell_length_b 8.028
_cell_length_c 4.923
_cell_angle_alpha 90.00
_cell_angle_beta 90.00
_cell_angle_gamma 115.31
_space_group_name_H-M_alt 'P 1'
_space_group_IT_number 1
loop_
_space_group_symop_operation_xyz
'x,y,z'
loop_
_atom_site_label
_atom_site_type_symbol
_atom_site_fract_x
_atom_site_fract_y
_atom_site_fract_z
Sc1 Sc 0.085 0.320 0.500
Ce1 Ce 0.265 0.735 0.500
Sc2 Sc 0.915 0.680 0.500
Sc3 Sc 0.320 0.085 0.500
Sc4 Sc 0.500 0.500 0.500
Ce2 Ce 0.735 0.265 0.500
Er1 Er 0.000 0.000 0.000
Sc5 Sc 0.657 0.343 0.000
Sc6 Sc 0.343 0.657 0.000
Sc7 Sc 0.680 0.915 0.500

***

No. 4
# CeEr6Sc2 | Alexandria | GGA-PBE | relaxed
# - Spin magnetization: 1.16 μB per formula unit
# - Volume: 29.47 A^3/atom
# - N(E_F): 16.87 states/eV/f.u.
# - ΔH_f (0 K): 0.136 eV per atom
data_CeEr6Sc2
_chemical_formula_sum 'Ce2 Er12 Sc4'
_cell_length_a 6.357
_cell_length_b 9.284
_cell_length_c 9.284
_cell_angle_alpha 98.38
_cell_angle_beta 97.73
_cell_angle_gamma 97.73
_space_group_name_H-M_alt 'P 1'
_space_group_IT_number 1
loop_
_space_group_symop_operation_xyz
'x,y,z'
loop_
_atom_site_label
_atom_site_type_symbol
_atom_site_fract_x
_atom_site_fract_y
_atom_site_fract_z
Er1 Er 0.695 0.944 0.757
Er2 Er 0.796 0.078 0.444
Er3 Er 0.195 0.757 0.944
Er4 Er 0.986 0.645 0.268
Sc1 Sc 0.362 0.612 0.645
Er5 Er 0.296 0.444 0.078
Ce1 Ce 0.250 0.105 0.895
Er6 Er 0.305 0.056 0.243
Er7 Er 0.514 0.732 0.355
Ce2 Ce 0.750 0.895 0.105
Er8 Er 0.486 0.268 0.645
Sc2 Sc 0.638 0.388 0.355
Er9 Er 0.704 0.556 0.922
Er10 Er 0.014 0.355 0.732
Sc3 Sc 0.138 0.355 0.388
Sc4 Sc 0.862 0.645 0.612
Er11 Er 0.204 0.922 0.556
Er12 Er 0.805 0.243 0.056

***

No. 5
# CeErSc | Alexandria | GGA-PBE | relaxed
# - Spin magnetization: 0.71 μB per formula unit
# - Volume: 27.83 A^3/atom
# - N(E_F): 6.60 states/eV/f.u.
# - ΔH_f (0 K): 0.290 eV per atom
data_CeErSc
_chemical_formula_sum 'Ce4 Er4 Sc4'
_cell_length_a 6.362
_cell_length_b 10.510
_cell_length_c 5.921
_cell_angle_alpha 90.00
_cell_angle_beta 122.49
_cell_angle_gamma 90.00
_space_group_name_H-M_alt 'P 1'
_space_group_IT_number 1
loop_
_space_group_symop_operation_xyz
'x,y,z'
loop_
_atom_site_label
_atom_site_type_symbol
_atom_site_fract_x
_atom_site_fract_y
_atom_site_fract_z
Sc1 Sc 0.501 0.651 0.500
Ce1 Ce 0.999 0.250 0.999
Er1 Er 0.839 0.500 0.178
Sc2 Sc 0.999 0.151 0.500
Er2 Er 0.161 0.500 0.822
Sc3 Sc 0.499 0.349 0.500
Ce2 Ce 0.001 0.750 0.001
Er3 Er 0.339 0.000 0.178
Ce3 Ce 0.501 0.750 0.001
Sc4 Sc 0.001 0.849 0.500
Er4 Er 0.661 0.000 0.822
Ce4 Ce 0.499 0.250 0.999

***

No. 6
# CeEr6Sc2 | Alexandria | GGA-PBE | relaxed
# - Spin magnetization: 0.00 μB per formula unit
# - Volume: 29.75 A^3/atom
# - N(E_F): 8.34 states/eV/f.u.
# - ΔH_f (0 K): 0.365 eV per atom
data_CeEr6Sc2
_chemical_formula_sum 'Ce1 Er6 Sc2'
_cell_length_a 7.084
_cell_length_b 7.084
_cell_length_c 7.396
_cell_angle_alpha 61.38
_cell_angle_beta 61.38
_cell_angle_gamma 60.00
_space_group_name_H-M_alt 'P 1'
_space_group_IT_number 1
loop_
_space_group_symop_operation_xyz
'x,y,z'
loop_
_atom_site_label
_atom_site_type_symbol
_atom_site_fract_x
_atom_site_fract_y
_atom_site_fract_z
Sc1 Sc 0.580 0.580 0.259
Ce1 Ce 0.319 0.319 0.044
Er1 Er 0.263 0.262 0.700
Er2 Er 0.262 0.775 0.700
Er3 Er 0.608 0.051 0.290
Sc2 Sc 0.757 0.757 0.730
Er4 Er 0.051 0.051 0.290
Er5 Er 0.051 0.608 0.290
Er6 Er 0.775 0.263 0.700

***

No. 7
# CeEr3Sc | Alexandria | GGA-PBE | relaxed
# - Spin magnetization: 0.85 μB per formula unit
# - Volume: 29.16 A^3/atom
# - N(E_F): 9.82 states/eV/f.u.
# - ΔH_f (0 K): 0.065 eV per atom
data_CeEr3Sc
_chemical_formula_sum 'Ce2 Er6 Sc2'
_cell_length_a 4.866
_cell_length_b 6.932
_cell_length_c 9.151
_cell_angle_alpha 101.11
_cell_angle_beta 105.42
_cell_angle_gamma 90.00
_space_group_name_H-M_alt 'P 1'
_space_group_IT_number 1
loop_
_space_group_symop_operation_xyz
'x,y,z'
loop_
_atom_site_label
_atom_site_type_symbol
_atom_site_fract_x
_atom_site_fract_y
_atom_site_fract_z
Ce1 Ce 0.797 0.640 0.595
Er1 Er 0.198 0.844 0.395
Er2 Er 0.601 0.054 0.202
Er3 Er 0.001 0.253 0.002
Ce2 Ce 0.203 0.360 0.405
Er4 Er 0.999 0.747 0.998
Sc1 Sc 0.599 0.545 0.197
Er5 Er 0.802 0.156 0.605
Er6 Er 0.399 0.946 0.798
Sc2 Sc 0.401 0.455 0.803

***

No. 8
# CeErSc3 | Alexandria | GGA-PBE | relaxed
# - Spin magnetization: 0.00 μB per formula unit
# - Volume: 26.45 A^3/atom
# - N(E_F): 8.73 states/eV/f.u.
# - ΔH_f (0 K): 0.139 eV per atom
data_CeErSc3
_chemical_formula_sum 'Ce4 Er4 Sc12'
_cell_length_a 8.844
_cell_length_b 8.844
_cell_length_c 11.980
_cell_angle_alpha 118.71
_cell_angle_beta 118.71
_cell_angle_gamma 41.11
_space_group_name_H-M_alt 'P 1'
_space_group_IT_number 1
loop_
_space_group_symop_operation_xyz
'x,y,z'
loop_
_atom_site_label
_atom_site_type_symbol
_atom_site_fract_x
_atom_site_fract_y
_atom_site_fract_z
Sc1 Sc 0.251 0.390 0.799
Er1 Er 0.500 0.000 0.000
Ce1 Ce 0.033 0.620 0.115
Ce2 Ce 0.967 0.380 0.885
Er2 Er 0.000 0.500 0.500
Sc2 Sc 0.156 0.052 0.074
Sc3 Sc 0.052 0.156 0.574
Sc4 Sc 0.610 0.749 0.701
Sc5 Sc 0.390 0.251 0.299
Ce3 Ce 0.380 0.967 0.385
Er3 Er 0.151 0.849 0.750
Sc6 Sc 0.749 0.610 0.201
Sc7 Sc 0.391 0.550 0.094
Sc8 Sc 0.450 0.609 0.406
Sc9 Sc 0.609 0.450 0.906
Er4 Er 0.849 0.151 0.250
Sc10 Sc 0.550 0.391 0.594
Ce4 Ce 0.620 0.033 0.615
Sc11 Sc 0.948 0.844 0.426
Sc12 Sc 0.844 0.948 0.926

***

No. 9
# Ce2Er12Sc5 | Alexandria | GGA-PBE | relaxed
# - Spin magnetization: 0.55 μB per formula unit
# - Volume: 29.49 A^3/atom
# - N(E_F): 32.71 states/eV/f.u.
# - ΔH_f (0 K): 0.170 eV per atom
data_Ce2Er12Sc5
_chemical_formula_sum 'Ce2 Er12 Sc5'
_cell_length_a 9.095
_cell_length_b 11.936
_cell_length_c 8.269
_cell_angle_alpha 133.01
_cell_angle_beta 90.00
_cell_angle_gamma 112.39
_space_group_name_H-M_alt 'P 1'
_space_group_IT_number 1
loop_
_space_group_symop_operation_xyz
'x,y,z'
loop_
_atom_site_label
_atom_site_type_symbol
_atom_site_fract_x
_atom_site_fract_y
_atom_site_fract_z
Er1 Er 0.327 0.297 0.062
Er2 Er 0.030 0.703 0.938
Ce1 Ce 0.352 0.000 0.000
Er3 Er 0.074 0.148 0.281
Er4 Er 0.926 0.852 0.719
Sc1 Sc 0.710 0.419 0.382
Er5 Er 0.673 0.703 0.938
Er6 Er 0.970 0.297 0.062
Er7 Er 0.436 0.872 0.211
Sc2 Sc 0.229 0.458 0.891
Ce2 Ce 0.648 0.000 0.000
Sc3 Sc 0.290 0.581 0.618
Er8 Er 0.440 0.264 0.590
Er9 Er 0.176 0.736 0.410
Er10 Er 0.564 0.128 0.789
Sc4 Sc 0.771 0.542 0.109
Er11 Er 0.560 0.736 0.410
Er12 Er 0.824 0.264 0.590
Sc5 Sc 0.000 0.000 0.500

***

No. 10
# Ce2ErSc8 | Alexandria | GGA-PBE | relaxed
# - Spin magnetization: 1.62 μB per formula unit
# - Volume: 26.51 A^3/atom
# - N(E_F): 20.68 states/eV/f.u.
# - ΔH_f (0 K): 0.199 eV per atom
data_Ce2ErSc8
_chemical_formula_sum 'Ce2 Er1 Sc8'
_cell_length_a 5.474
_cell_length_b 8.464
_cell_length_c 8.604
_cell_angle_alpha 60.53
_cell_angle_beta 74.53
_cell_angle_gamma 57.16
_space_group_name_H-M_alt 'P 1'
_space_group_IT_number 1
loop_
_space_group_symop_operation_xyz
'x,y,z'
loop_
_atom_site_label
_atom_site_type_symbol
_atom_site_fract_x
_atom_site_fract_y
_atom_site_fract_z
Sc1 Sc 0.178 0.671 0.231
Sc2 Sc 0.294 0.432 0.000
Er1 Er 0.500 0.000 0.000
Sc3 Sc 0.822 0.099 0.231
Sc4 Sc 0.706 0.568 0.000
Sc5 Sc 0.822 0.329 0.769
Ce1 Ce 0.000 0.304 0.392
Sc6 Sc 0.500 0.790 0.420
Ce2 Ce 0.000 0.696 0.608
Sc7 Sc 0.500 0.210 0.580
Sc8 Sc 0.178 0.901 0.769

***

No. 11
# CeEr2Sc8 | Alexandria | GGA-PBE | relaxed
# - Spin magnetization: 1.14 μB per formula unit
# - Volume: 26.54 A^3/atom
# - N(E_F): 21.18 states/eV/f.u.
# - ΔH_f (0 K): 0.172 eV per atom
data_CeEr2Sc8
_chemical_formula_sum 'Ce1 Er2 Sc8'
_cell_length_a 5.416
_cell_length_b 8.394
_cell_length_c 8.696
_cell_angle_alpha 61.14
_cell_angle_beta 74.96
_cell_angle_gamma 57.48
_space_group_name_H-M_alt 'P 1'
_space_group_IT_number 1
loop_
_space_group_symop_operation_xyz
'x,y,z'
loop_
_atom_site_label
_atom_site_type_symbol
_atom_site_fract_x
_atom_site_fract_y
_atom_site_fract_z
Sc1 Sc 0.182 0.668 0.233
Er1 Er 0.000 0.694 0.613
Sc2 Sc 0.290 0.433 0.000
Ce1 Ce 0.500 0.000 0.000
Sc3 Sc 0.182 0.901 0.767
Sc4 Sc 0.818 0.099 0.233
Sc5 Sc 0.500 0.206 0.588
Er2 Er 0.000 0.306 0.387
Sc6 Sc 0.818 0.332 0.767
Sc7 Sc 0.710 0.567 0.000
Sc8 Sc 0.500 0.794 0.412

***

No. 12
# CeEr4Sc | Alexandria | GGA-PBE | relaxed
# - Spin magnetization: 0.89 μB per formula unit
# - Volume: 29.69 A^3/atom
# - N(E_F): 12.95 states/eV/f.u.
# - ΔH_f (0 K): 0.056 eV per atom
data_CeEr4Sc
_chemical_formula_sum 'Ce4 Er16 Sc4'
_cell_length_a 10.545
_cell_length_b 5.548
_cell_length_c 12.178
_cell_angle_alpha 90.00
_cell_angle_beta 90.00
_cell_angle_gamma 90.00
_space_group_name_H-M_alt 'P 1'
_space_group_IT_number 1
loop_
_space_group_symop_operation_xyz
'x,y,z'
loop_
_atom_site_label
_atom_site_type_symbol
_atom_site_fract_x
_atom_site_fract_y
_atom_site_fract_z
Er1 Er 0.417 0.750 0.543
Ce1 Ce 0.917 0.750 0.790
Er2 Er 0.751 0.250 0.212
Sc1 Sc 0.080 0.750 0.542
Er3 Er 0.754 0.750 0.542
Er4 Er 0.917 0.250 0.957
Er5 Er 0.249 0.750 0.788
Sc2 Sc 0.920 0.250 0.458
Sc3 Sc 0.580 0.250 0.958
Er6 Er 0.251 0.750 0.288
Er7 Er 0.583 0.250 0.457
Ce2 Ce 0.417 0.250 0.710
Er8 Er 0.580 0.750 0.795
Er9 Er 0.749 0.250 0.712
Er10 Er 0.083 0.750 0.043
Er11 Er 0.420 0.250 0.205
Ce3 Ce 0.583 0.750 0.290
Er12 Er 0.920 0.750 0.295
Er13 Er 0.746 0.750 0.042
Er14 Er 0.246 0.250 0.458
Sc4 Sc 0.420 0.750 0.042
Er15 Er 0.080 0.250 0.705
Er16 Er 0.254 0.250 0.958
Ce4 Ce 0.083 0.250 0.210

***

Question: The highest ΔH_f (0 K) belongs to which entry?
Answer: Ce2ErSc7

***

Question: Which of these has the lowest N(E_F)?
Answer: CeErSc